TaGe3C: optimized geometry, PBEsol.

Space group = Pm-3m, No. 221
Formation enthalpy at 0 K = 102.9 kJ per mole of atoms
Total DFT energy (no corrections) = -31.68 eV/f.u.

Unit cell a=4.2248 b=4.2248 c=4.2248 alpha=90.00 beta=90.00 gamma=90.00
With the nearest neighbours (Å) after each atom.
Atoms (fractional coordinates):
Ta: 0.0000 0.0000 0.0000  12 Ge 2.99
Ge: 0.0000 0.5000 0.5000  2 C 2.11
Ge: 0.5000 0.0000 0.5000  2 C 2.11
Ge: 0.5000 0.5000 0.0000  2 C 2.11
C: 0.5000 0.5000 0.5000  6 Ge 2.11